Record 1
# ZrCd2Pt9 (PBE, optimized geometry)
data_ZrCd2Pt9
_symmetry_space_group_name_H-M 'P 4/m m m'
_symmetry_Int_Tables_number 123
_symmetry_space_group_name_Hall '-P 4 2'
_cell_length_a 4.0428
_cell_length_b 4.0428
_cell_length_c 12.1443
_cell_angle_alpha 90.00
_cell_angle_beta 90.00
_cell_angle_gamma 90.00
loop_
_atom_site_label
_atom_site_fract_x
_atom_site_fract_y
_atom_site_fract_z
Zr1 0.0000 0.0000 0.0000
Cd1 0.0000 0.0000 0.3350
Pt1 0.0000 0.5000 0.1639
Pt2 0.0000 0.5000 0.5000
Pt3 0.5000 0.5000 0.0000
Pt4 0.5000 0.5000 0.3316
# Energy relative to the elements   -47.5 kJ per mole of atoms

=====

Record 2
# Ca2Sm2BRh4 (PBE, optimized geometry)
data_Ca2Sm2BRh4
_symmetry_space_group_name_H-M 'I 4/m m m'
_symmetry_Int_Tables_number 139
_symmetry_space_group_name_Hall '-I 4 2'
_cell_length_a 6.6005
_cell_length_b 6.6005
_cell_length_c 8.1520
_cell_angle_alpha 90.00
_cell_angle_beta 90.00
_cell_angle_gamma 90.00
loop_
_atom_site_label
_atom_site_fract_x
_atom_site_fract_y
_atom_site_fract_z
Ca1 0.0000 0.0000 0.1921
Sm1 0.0000 0.5000 0.2500
B1 0.0000 0.0000 0.5000
Rh1 0.2227 0.2227 0.5000
# Energy relative to the elements   -46.0 kJ per mole of atoms

=====

Record 3
# Dy3Er2Os2 (PBE, optimized geometry)
data_Dy3Er2Os2
_symmetry_space_group_name_H-M 'C 1 2/m 1'
_symmetry_Int_Tables_number 12
_symmetry_space_group_name_Hall '-C 2y'
_cell_length_a 11.9015
_cell_length_b 3.9563
_cell_length_c 8.2047
_cell_angle_alpha 90.00
_cell_angle_beta 112.28
_cell_angle_gamma 90.00
loop_
_atom_site_label
_atom_site_fract_x
_atom_site_fract_y
_atom_site_fract_z
Dy1 0.0000 0.0000 0.0000
Dy2 0.1248 0.0000 0.4323
Er1 0.1670 0.5000 0.8186
Os1 0.1783 0.5000 0.2142
# Energy relative to the elements   -24.8 kJ per mole of atoms

=====

Record 4
# SiICl2F (PBE, optimized geometry)
data_SiICl2F
_symmetry_space_group_name_H-M 'P 4/m m m'
_symmetry_Int_Tables_number 123
_symmetry_space_group_name_Hall '-P 4 2'
_cell_length_a 5.6269
_cell_length_b 5.6269
_cell_length_c 4.5530
_cell_angle_alpha 90.00
_cell_angle_beta 90.00
_cell_angle_gamma 90.00
loop_
_atom_site_label
_atom_site_fract_x
_atom_site_fract_y
_atom_site_fract_z
Si1 0.0000 0.0000 0.0000
I1 0.5000 0.5000 0.5000
Cl1 0.0000 0.5000 0.5000
F1 0.5000 0.5000 0.0000
# Uncorrected formation energy   161.9 kJ/mol of formula units

=====

Record 5
# Ca3Ce2N4 (PBE, optimized geometry)
data_Ca3Ce2N4
_symmetry_space_group_name_H-M 'C 1 2/m 1'
_symmetry_Int_Tables_number 12
_symmetry_space_group_name_Hall '-C 2y'
_cell_length_a 11.9448
_cell_length_b 3.6103
_cell_length_c 8.8002
_cell_angle_alpha 90.00
_cell_angle_beta 120.90
_cell_angle_gamma 90.00
loop_
_atom_site_label
_atom_site_fract_x
_atom_site_fract_y
_atom_site_fract_z
Ca1 0.0000 0.0000 0.0000
Ca2 0.2054 0.0000 0.8167
Ce1 0.1003 0.5000 0.3783
N1 0.0889 0.5000 0.8785
N2 0.1988 0.0000 0.3232
# Uncorrected formation energy   -949.2 kJ/mol of formula units

=====

Record 6
# Pm2HoV (PBE, optimized geometry)
data_Pm2HoV
_symmetry_space_group_name_H-M 'R -3 m'
_symmetry_Int_Tables_number 166
_symmetry_space_group_name_Hall '-R 3 2"'
_cell_length_a 3.4212
_cell_length_b 3.4212
_cell_length_c 34.7477
_cell_angle_alpha 90.00
_cell_angle_beta 90.00
_cell_angle_gamma 120.00
loop_
_atom_site_label
_atom_site_fract_x
_atom_site_fract_y
_atom_site_fract_z
Pm1 0.0000 0.0000 0.0817
Ho1 0.0000 0.0000 0.5000
V1 0.0000 0.0000 0.0000
# Energy relative to the elements   60.2 kJ per mole of atoms

=====

Record 7
# Ga3NiOs (PBE, optimized geometry)
data_Ga3NiOs
_symmetry_space_group_name_H-M 'P m -3 m'
_symmetry_Int_Tables_number 221
_symmetry_space_group_name_Hall '-P 4 2 3'
_cell_length_a 4.7534
_cell_length_b 4.7534
_cell_length_c 4.7534
_cell_angle_alpha 90.00
_cell_angle_beta 90.00
_cell_angle_gamma 90.00
loop_
_atom_site_label
_atom_site_fract_x
_atom_site_fract_y
_atom_site_fract_z
Ga1 0.0000 0.0000 0.5000
Ni1 0.5000 0.5000 0.5000
Os1 0.0000 0.0000 0.0000
# Polymorph energy (0 for the lowest one)   0.0000 eV per atom
# Energy relative to the elements   54.7 kJ per mole of atoms

=====

Record 8
# AgB3Ir (PBE, optimized geometry)
data_AgB3Ir
_symmetry_space_group_name_H-M 'P m -3 m'
_symmetry_Int_Tables_number 221
_symmetry_space_group_name_Hall '-P 4 2 3'
_cell_length_a 4.0536
_cell_length_b 4.0536
_cell_length_c 4.0536
_cell_angle_alpha 90.00
_cell_angle_beta 90.00
_cell_angle_gamma 90.00
loop_
_atom_site_label
_atom_site_fract_x
_atom_site_fract_y
_atom_site_fract_z
Ag1 0.0000 0.0000 0.0000
B1 0.0000 0.0000 0.5000
Ir1 0.5000 0.5000 0.5000
# Polymorph energy (0 for the lowest one)   1.3837 eV per atom
# Energy relative to the elements   226.5 kJ per mole of atoms